CeOF | GGA-PBEsol | optimized geometry

Unit cell a=3.958 b=3.958 c=5.670 alpha=90.00 beta=90.00 gamma=90.00
Each line ends with the local moment (μB).
Atoms (fractional coordinates):
F1 0.500 0.500 0.000  0.00
F2 0.000 0.000 0.000  0.00
Ce1 0.500 0.000 0.715  0.93
O1 0.000 0.000 0.500  -0.03
Ce2 0.000 0.500 0.285  0.93
O2 0.500 0.500 0.500  -0.03

## Properties
Formation energy without anion corrections = -11.00 eV/f.u.
Symmetry = P4/nmm
Volume = 14.8 A^3/atom
Total energy = -8.26 eV per atom
Fermi-level density of states = 5.809 states/eV/f.u.